Below is Pm2VRuO8 after structural relaxation, with properties calculated at the PBE with a Hubbard U level.

Unit cell a=4.7898 b=4.8126 c=6.6786 alpha=90.16 beta=90.09 gamma=93.16
Element x y z (fractional)
Pm (0.0733, 0.0696, 0.2531)
Pm (0.9267, 0.9304, 0.7469)
V (0.5000, 0.5000, 0.5000)
Ru (0.5000, 0.5000, 0.0000)
O (0.2241, 0.2255, 0.9503)
O (0.2289, 0.2298, 0.5501)
O (0.2857, 0.6264, 0.2600)
O (0.3726, 0.7152, 0.7403)
O (0.6274, 0.2848, 0.2597)
O (0.7143, 0.3736, 0.7400)
O (0.7711, 0.7702, 0.4499)
O (0.7759, 0.7745, 0.0497)

Output
VASP energy (eV/atom): -7.554